(1)
This record from the Alexandria database describes a geometry-optimized YGe2Pb structure. The functional is PBE.

abc: 6.486 6.486 6.486
angles: 103.51 103.51 122.19
Atoms (fractional coordinates):
Y1 0.000 0.000 0.000
Y2 0.750 0.250 0.500
Ge1 0.130 0.625 0.005
Ge2 0.375 0.380 0.505
Ge3 0.620 0.125 0.995
Ge4 0.875 0.870 0.495
Pb1 0.250 0.750 0.500
Pb2 0.500 0.500 0.000

Values from the calculation:
Energy of formation from the pure elements in eV per atom: -0.085
Total DFT energy (no corrections) in eV for the cell shown: -39.49
V in Å³ per cell: 202
Space-group type: I-42d



(2)
This record from the Alexandria database describes a geometry-optimized KBaRe2 structure. The functional is PBE.

abc: 2.828 2.828 11.526
angles: 90.00 90.00 90.00
Atoms (fractional coordinates):
K1 0.000 0.000 0.000
Ba1 0.000 0.000 0.500
Re1 0.500 0.500 0.253
Re2 0.500 0.500 0.747

Values from the calculation:
Energy of formation from the pure elements in eV per atom: 1.670
Total DFT energy (no corrections) in eV for the cell shown: -21.24
V in Å³ per cell: 92
Space-group type: P4/mmm



(3)
This record from the Alexandria database describes a geometry-optimized ReIr2Ru2 structure. The functional is PBE.

abc: 4.728 4.730 7.195
angles: 102.68 108.88 99.76
Atoms (fractional coordinates):
Re1 0.099 0.049 0.349
Re2 0.901 0.951 0.651
Ir1 0.098 0.549 0.849
Ir2 0.301 0.657 0.548
Ir3 0.699 0.343 0.452
Ir4 0.902 0.451 0.151
Ru1 0.300 0.150 0.052
Ru2 0.498 0.750 0.247
Ru3 0.502 0.250 0.753
Ru4 0.700 0.850 0.948

Values from the calculation:
Energy of formation from the pure elements in eV per atom: -0.055
Total DFT energy (no corrections) in eV for the cell shown: -97.99
V in Å³ per cell: 143
Space-group type: P-1



(4)
This record from the Alexandria database describes a geometry-optimized ScRuW2 structure. The functional is PBE.

abc: 5.285 5.285 2.821
angles: 99.39 99.39 119.29
Atoms (fractional coordinates):
Sc1 0.000 0.000 0.000
Ru1 0.500 0.500 0.000
W1 0.000 0.500 0.500
W2 0.500 0.000 0.500

Values from the calculation:
Energy of formation from the pure elements in eV per atom: 0.056
Total DFT energy (no corrections) in eV for the cell shown: -41.29
V in Å³ per cell: 65
Space-group type: C2/m



Q: The highest energy of formation from the pure elements belongs to which entry?
A: KBaRe2



Q: Among the records above, which one has the highest energy of formation from the pure elements?
A: KBaRe2



Q: Which of these has the highest V?
A: YGe2Pb